Material: MgMnMo2
Method: DFT, PBE
State: relaxed

Unit cell a=4.454 b=4.454 c=4.454 alpha=60.00 beta=60.00 gamma=60.00
Element x y z (fractional)
Mg1 0.500 0.500 0.500
Mn1 0.750 0.750 0.750
Mo1 0.000 0.000 0.000
Mo2 0.250 0.250 0.250

- V: 62.5 Å³/cell
- Energy of formation from the pure elements: 6.88 kcal/mol of atoms
- Space group: F-43m (216)
- Fermi-level density of states: 2.39 states/eV/cell
- Final energy: -7.808 eV per atom
- ρ: 7.20 g/cm³

=====

Material: Cs2Rb2RuO6
Method: DFT, PBE
State: relaxed

Unit cell a=6.558 b=6.558 c=6.821 alpha=98.63 beta=98.63 gamma=116.87
Element x y z (fractional)
Cs1 0.831 0.169 0.000
Cs2 0.169 0.831 0.000
Rb1 0.344 0.656 0.500
Rb2 0.656 0.344 0.500
Ru1 0.000 0.000 0.500
O1 0.830 0.830 0.679
O2 0.045 0.285 0.663
O3 0.170 0.170 0.321
O4 0.285 0.045 0.663
O5 0.955 0.715 0.337
O6 0.715 0.955 0.337

- E_form (uncorrected): -1.119 eV/atom
- V: 250.7 Å³/cell
- Space group: C2/m (12)
- Final energy: -4.998 eV per atom
- ρ: 4.20 g/cm³